Computed, not measured: an optimized crystal structure of Ba2Ni2ClF7 at the PBE+U level of DFT.

Results
The density of states at the Fermi level is 0.00 states/eV/cell. The value obtained for the electronic total energy is -4.874 eV per atom. The value obtained for the total magnetization is 8.109 Bohr magnetons per cell.

Lattice parameters (Å, degrees): 7.7440 5.8508 8.9372 90.00 106.80 90.00
Last column: nearest neighbours and their distance in Å.
Element x y z (fractional)
1 Ba 0.1684 0.2500 0.4121  6 F 2.66-2.70
2 Ba 0.2026 0.2500 0.9279  10 F 2.76-3.02
3 Ba 0.7974 0.7500 0.0721  10 F 2.76-3.02
4 Ba 0.8316 0.7500 0.5879  6 F 2.66-2.70
5 Ni 0.3175 0.7500 0.1743  5 F 2.00-2.05
6 Ni 0.3270 0.7500 0.7349  5 F 2.01-2.04
7 Ni 0.6730 0.2500 0.2651  5 F 2.01-2.04
8 Ni 0.6825 0.2500 0.8257  5 F 2.00-2.05
9 Cl 0.3852 0.7500 0.4705  2 Ni 2.53-2.55
10 Cl 0.6148 0.2500 0.5295  2 Ni 2.53-2.55
11 F 0.1304 0.5099 0.1605  1 Ni 2.00
12 F 0.1304 0.9901 0.1605  1 Ni 2.00
13 F 0.1406 0.5049 0.6551  1 Ni 2.01
14 F 0.1406 0.9951 0.6551  1 Ni 2.01
15 F 0.2493 0.7500 0.9349  2 Ni 2.04-2.05
16 F 0.4945 0.0021 0.1718  2 Ni 2.01-2.02
17 F 0.4945 0.4979 0.1718  2 Ni 2.01-2.02
18 F 0.5055 0.5021 0.8282  2 Ni 2.01-2.02
19 F 0.5055 0.9979 0.8282  2 Ni 2.01-2.02
20 F 0.7507 0.2500 0.0651  2 Ni 2.04-2.05
21 F 0.8594 0.0049 0.3449  1 Ni 2.01
22 F 0.8594 0.4951 0.3449  1 Ni 2.01
23 F 0.8696 0.0099 0.8395  1 Ni 2.00
24 F 0.8696 0.4901 0.8395  1 Ni 2.00